BeAs2Ir | GGA-PBE | optimized geometry

abc: 6.9393 6.9393 6.9393
angles: 155.22 151.01 38.50
Atoms (fractional coordinates):
Be1 0.5421 0.5421 0.0000
As1 0.2750 0.7750 0.5000
Ir1 0.6769 0.1769 0.5000
As2 0.0060 0.0060 0.0000

E ... -5.416 eV per atom
Crystal system ... orthorhombic
Calculated volume ... 16.94 A^3/atom

***

ErTmGaRh | GGA-PBE | optimized geometry

abc: 4.9048 4.9048 4.9048
angles: 60.00 60.00 60.00
Atoms (fractional coordinates):
Er1 0.0000 0.0000 0.0000
Rh1 0.7500 0.7500 0.7500
Ga1 0.2500 0.2500 0.2500
Tm1 0.5000 0.5000 0.5000

Crystal system ... cubic
Offset from the most stable computed form ... 37 meV per atom
Calculated volume ... 20.86 A^3/atom

***

Nd2TmSc7 | GGA-PBE | optimized geometry

abc: 3.3127 14.0343 14.0344
angles: 154.86 90.00 90.00
Atoms (fractional coordinates):
Sc1 0.5000 0.3416 0.1484
Sc2 0.5000 0.5000 0.5000
Nd1 0.5000 0.2910 0.7090
Nd2 0.5000 0.7090 0.2910
Tm1 0.0000 0.0000 0.0000
Sc3 0.0000 0.1796 0.8204
Sc4 0.5000 0.6584 0.8516
Sc5 0.0000 0.8204 0.1796
Sc6 0.5000 0.8516 0.6584
Sc7 0.5000 0.1484 0.3416

E ... -5.677 eV per atom
Crystal system ... orthorhombic
Calculated volume ... 27.71 A^3/atom

***

Sr2MnAu2 | GGA-PBE | optimized geometry

abc: 3.9637 3.9637 9.6333
angles: 78.13 78.13 90.00
Atoms (fractional coordinates):
Sr1 0.3899 0.3899 0.2203
Mn1 0.0000 0.0000 0.0000
Au1 0.2500 0.7500 0.5000
Sr2 0.6101 0.6101 0.7797
Au2 0.7500 0.2500 0.5000

E ... -3.829 eV per atom
Crystal system ... tetragonal
Calculated volume ... 28.96 A^3/atom

***

KHoHgSe3 | GGA-PBE | optimized geometry

abc: 4.2455 8.8337 10.2174
angles: 107.23 90.00 90.00
Atoms (fractional coordinates):
K1 0.7500 0.7839 0.7590
Se1 0.2500 0.5418 0.8507
Hg1 0.7500 0.9087 0.3882
Hg2 0.2500 0.0913 0.6118
Se2 0.2500 0.1041 0.8719
Ho1 0.2500 0.6709 0.1370
Ho2 0.7500 0.3291 0.8630
Se3 0.2500 0.7538 0.4537
Se4 0.7500 0.8959 0.1281
Se5 0.7500 0.4582 0.1493
K2 0.2500 0.2161 0.2410
Se6 0.7500 0.2462 0.5463

E ... -3.927 eV per atom
Crystal system ... monoclinic
Calculated volume ... 30.50 A^3/atom

***

Rb3Tm2ZrS6 | GGA-PBE | optimized geometry

abc: 6.8340 6.8340 8.0204
angles: 98.17 98.17 120.00
Atoms (fractional coordinates):
Rb1 0.1684 0.8316 0.5000
Zr1 0.0000 0.0000 0.0000
Rb2 0.5000 0.5000 0.5000
S1 0.2606 0.2606 0.8091
S2 0.9366 0.6123 0.8098
Tm1 0.6665 0.3335 0.0000
S3 0.3877 0.0634 0.1902
S4 0.0634 0.3877 0.1902
Rb3 0.8316 0.1684 0.5000
Tm2 0.3335 0.6665 0.0000
S5 0.7394 0.7394 0.1909
S6 0.6123 0.9366 0.8098

E ... -5.455 eV per atom
Crystal system ... monoclinic
Calculated volume ... 25.92 A^3/atom

***

MgTa2Mn | GGA-PBE | optimized geometry

abc: 5.0771 5.0771 5.0771
angles: 133.15 133.15 68.42
Atoms (fractional coordinates):
Mn1 0.7500 0.2500 0.5000
Mg1 0.5000 0.5000 0.0000
Ta1 0.0000 0.0000 0.0000
Ta2 0.2500 0.7500 0.5000

E ... -8.241 eV per atom
Crystal system ... tetragonal
Calculated volume ... 17.11 A^3/atom

***

Sc2Re2W | GGA-PBE | optimized geometry

abc: 6.5320 6.5320 4.4868
angles: 90.00 90.00 90.00
Atoms (fractional coordinates):
W1 0.0000 0.0000 0.0000
Re1 0.1323 0.3677 0.0000
Re2 0.8677 0.6323 0.0000
Sc1 0.3244 0.1756 0.5000
Sc2 0.8244 0.3244 0.5000
Re3 0.3677 0.8677 0.0000
Re4 0.6323 0.1323 0.0000
Sc3 0.1756 0.6756 0.5000
W2 0.5000 0.5000 0.0000
Sc4 0.6756 0.8244 0.5000

Crystal system ... tetragonal
Offset from the most stable computed form ... 0 meV per atom
Calculated volume ... 19.14 A^3/atom